(1)
K2FeSb | PBEsol | relaxed

* V: 25.93 Å³/atom
* formation energy without anion corrections: 0.533 eV per atom
* mass density: 4.1 Mg/m³

a = 4.3640 Å, b = 4.3640 Å, c = 5.4458 Å
α = 90.00°, β = 90.00°, γ = 90.00°
With the nearest neighbours (Å) after each atom.
Space group P4/mmm (No. 123)
Unique sites:
1 K 0.0000 0.5000 0.0000 (multiplicity 2)  4 K 3.09
2 Fe 0.0000 0.0000 0.5000 (multiplicity 1)  4 Sb 3.09
3 Sb 0.5000 0.5000 0.5000 (multiplicity 1)  4 Fe 3.09

(2)
KFeSb | PBEsol | relaxed

* V: 28.98 Å³/atom
* formation energy without anion corrections: 0.764 eV per atom
* mass density: 4.1 Mg/m³

a = 7.0319 Å, b = 7.0319 Å, c = 7.0319 Å
α = 90.00°, β = 90.00°, γ = 90.00°
With the nearest neighbours (Å) after each atom.
Space group F-43m (No. 216)
Unique sites:
1 K 0.0000 0.0000 0.0000 (multiplicity 4)  4 Sb 3.04
2 Fe 0.0000 0.0000 0.5000 (multiplicity 4)  4 Sb 3.04
3 Sb 0.2500 0.2500 0.7500 (multiplicity 4)  4 Fe 3.04, 4 K 3.04

(3)
KFe2Sb | PBEsol | relaxed

* V: 20.00 Å³/atom
* formation energy without anion corrections: 0.365 eV per atom
* E above lowest polymorph: 0 meV/atom
* mass density: 5.7 Mg/m³

a = 3.1513 Å, b = 3.1513 Å, c = 8.0568 Å
α = 90.00°, β = 90.00°, γ = 90.00°
With the nearest neighbours (Å) after each atom.
Space group P4mm (No. 99)
Unique sites:
1 K 0.0000 0.0000 0.0000 (multiplicity 1)  4 K 3.15, 4 Fe 3.46
2 Fe 0.0000 0.0000 0.5461 (multiplicity 1)  4 Fe 2.45
3 Fe 0.5000 0.5000 0.6722 (multiplicity 1)  4 Fe 2.45, 1 Sb 2.63
4 Sb 0.5000 0.5000 0.3458 (multiplicity 1)  5 Fe 2.63-2.75

(4)
K2FeSb | PBEsol | relaxed

* V: 30.15 Å³/atom
* formation energy without anion corrections: 0.716 eV per atom
* mass density: 3.5 Mg/m³

a = 6.2654 Å, b = 6.2654 Å, c = 3.0725 Å
α = 90.00°, β = 90.00°, γ = 90.00°
With the nearest neighbours (Å) after each atom.
Space group P4/mmm (No. 123)
Unique sites:
1 K 0.0000 0.5000 0.0000 (multiplicity 2)  2 K 3.07
2 Fe 0.0000 0.0000 0.5000 (multiplicity 1)  2 Fe 3.07
3 Sb 0.5000 0.5000 0.5000 (multiplicity 1)  2 Sb 3.07

(5)
KFe4Sb12 | PBEsol | relaxed

* V: 22.09 Å³/atom
* formation energy without anion corrections: -0.141 eV per atom
* mass density: 7.6 Mg/m³

a = 9.0899 Å, b = 9.0899 Å, c = 9.0899 Å
α = 90.00°, β = 90.00°, γ = 90.00°
With the nearest neighbours (Å) after each atom.
Space group Im-3 (No. 204)
Unique sites:
1 K 0.0000 0.0000 0.0000 (multiplicity 2)  12 Sb 3.39
2 Fe 0.2500 0.2500 0.2500 (multiplicity 8)  6 Sb 2.53
3 Sb 0.0000 0.3358 0.1629 (multiplicity 24)  2 Fe 2.53

(6)
KFe2Sb | PBEsol | relaxed

* V: 18.33 Å³/atom
* formation energy without anion corrections: 0.899 eV per atom
* E above lowest polymorph: 534 meV/atom
* mass density: 6.2 Mg/m³

a = 6.6440 Å, b = 6.6440 Å, c = 6.6440 Å
α = 90.00°, β = 90.00°, γ = 90.00°
With the nearest neighbours (Å) after each atom.
Space group Fm-3m (No. 225)
Unique sites:
1 K 0.0000 0.0000 0.0000 (multiplicity 4)  8 Fe 2.88
2 Fe 0.2500 0.2500 0.2500 (multiplicity 8)  4 K 2.88, 4 Sb 2.88
3 Sb 0.0000 0.0000 0.5000 (multiplicity 4)  8 Fe 2.88

(7)
K2ScFe | PBEsol | relaxed

* V: 32.27 Å³/atom
* E_form: 1.389 eV per atom
* E above lowest polymorph: 312 meV/atom
* mass density: 2.3 Mg/m³

a = 8.0227 Å, b = 8.0227 Å, c = 8.0227 Å
α = 90.00°, β = 90.00°, γ = 90.00°
With the nearest neighbours (Å) after each atom.
Space group Fm-3m (No. 225)
Unique sites:
1 K 0.2500 0.2500 0.2500 (multiplicity 8)  4 Fe 3.47, 4 Sc 3.47
2 Sc 0.0000 0.0000 0.0000 (multiplicity 4)  8 K 3.47
3 Fe 0.0000 0.0000 0.5000 (multiplicity 4)  8 K 3.47

(8)
K2ScFe | PBEsol | relaxed

* V: 28.10 Å³/atom
* E_form: 1.128 eV per atom
* E above lowest polymorph: 51 meV/atom
* mass density: 2.6 Mg/m³

a = 3.4675 Å, b = 5.2772 Å, c = 12.2869 Å
α = 90.00°, β = 90.00°, γ = 90.00°
With the nearest neighbours (Å) after each atom.
Space group Cmmm (No. 65)
Unique sites:
1 K 0.0000 0.0000 0.2225 (multiplicity 4)  6 K 3.16-3.47, 2 Fe 3.24
2 Sc 0.0000 0.5000 0.5000 (multiplicity 2)  6 Sc 3.16-3.47
3 Fe 0.0000 0.5000 0.0000 (multiplicity 2)  6 Fe 3.16-3.47, 4 K 3.24

Among the records above, which one has the lowest mass density? number 7